First-principles (GGA-PBE) data for a relaxed Sr4TaIn crystal, as listed in the Alexandria database.

Output
* VASP energy: -15.52 eV per cell
* space-group type: F-43m (216)

Lattice parameters (Å, degrees): 6.818 6.818 6.818 60.00 60.00 60.00
Atoms (fractional coordinates):
Sr (0.125, 0.125, 0.125)
Sr (0.125, 0.125, 0.626)
Sr (0.125, 0.626, 0.125)
Sr (0.626, 0.125, 0.125)
Ta (0.750, 0.750, 0.750)
In (0.500, 0.500, 0.500)



First-principles (GGA-PBE) data for a relaxed K2Rb7HgO2 crystal, as listed in the Alexandria database.

Output
* VASP energy: -24.42 eV per cell
* space-group type: R32 (155)
* E_form (uncorrected): -436 meV/atom

Lattice parameters (Å, degrees): 12.764 12.764 12.764 39.54 39.54 39.54
Atoms (fractional coordinates):
K (0.153, 0.153, 0.153)
K (0.847, 0.847, 0.847)
Rb (0.101, 0.449, 0.648)
Rb (0.352, 0.551, 0.899)
Rb (0.449, 0.648, 0.101)
Rb (0.500, 0.500, 0.500)
Rb (0.551, 0.899, 0.352)
Rb (0.648, 0.101, 0.449)
Rb (0.899, 0.352, 0.551)
Hg (0.000, 0.000, 0.000)
O (0.422, 0.422, 0.422)
O (0.578, 0.578, 0.578)



First-principles (GGA-PBE) data for a relaxed Sr2UCl8 crystal, as listed in the Alexandria database.

Output
* VASP energy: -52.00 eV per cell
* space-group type: C2/m (12)
* E_form (uncorrected): -2053 meV/atom

Lattice parameters (Å, degrees): 10.345 10.345 6.604 101.09 101.09 25.86
Atoms (fractional coordinates):
Sr (0.168, 0.168, 0.142)
Sr (0.832, 0.832, 0.858)
U (0.500, 0.500, 0.500)
Cl (0.019, 0.019, 0.282)
Cl (0.236, 0.236, 0.786)
Cl (0.373, 0.373, 0.581)
Cl (0.411, 0.411, 0.121)
Cl (0.589, 0.589, 0.879)
Cl (0.627, 0.627, 0.419)
Cl (0.764, 0.764, 0.214)
Cl (0.981, 0.981, 0.718)



First-principles (GGA-PBE) data for a relaxed BeInSb2 crystal, as listed in the Alexandria database.

Output
* VASP energy: -13.94 eV per cell
* space-group type: C2/m (12)
* E_form (uncorrected): 192 meV/atom
* excess energy over the best structure of this formula in the dataset: 99 meV per atom

Lattice parameters (Å, degrees): 3.890 3.890 7.548 104.85 104.85 59.94
Atoms (fractional coordinates):
Be (0.000, 0.000, 0.000)
In (0.500, 0.500, 0.500)
Sb (0.271, 0.271, 0.814)
Sb (0.729, 0.729, 0.186)



Question: Which formula does entry 2 have?
Answer: K2Rb7HgO2



Question: Among the records above, which one has the lowest VASP energy?
Answer: Sr2UCl8